LaYTa2Pt | PBE | relaxed

abc: 5.049 5.049 5.169
angles: 90.00 90.00 90.00
Space group P4/mmm (No. 123)
Symmetry-distinct sites (fractional):
La 0.000 0.000 0.000 [1 per cell]
Y 0.500 0.500 0.500 [1 per cell]
Ta 0.000 0.500 0.500 [2 per cell]
Pt 0.500 0.500 0.000 [1 per cell]

Output
As for the calculated formation energy: 124.0 kJ/mol of atoms. As for the crystal system: tetragonal. The calculation puts the total magnetization at 0.0 μB/f.u.